BeGe3Ir | meta-GGA SCAN | single point on PBEsol structure

- magnetization (μB per formula unit) = 0.00
- formation enthalpy at 0 K (meV per atom) = 751

a = 4.7364 Å, b = 4.7364 Å, c = 4.7364 Å
α = 90.00°, β = 90.00°, γ = 90.00°
Closest atoms and distances in Å follow each position.
Space group Pm-3m (No. 221)
Inequivalent atoms, fractional coordinates:
Be  0.0000  0.0000  0.0000 [1 per cell]  12 Ge 3.35
Ge  0.0000  0.5000  0.5000 [3 per cell]  2 Ir 2.37
Ir  0.5000  0.5000  0.5000 [1 per cell]  6 Ge 2.37

=====

BeGeSbIr2 | meta-GGA SCAN | single point on PBEsol structure

- VASP energy (eV for the cell shown) = -199.45
- magnetization (μB per formula unit) = 0.00

a = 4.2779 Å, b = 4.2779 Å, c = 4.4506 Å
α = 90.00°, β = 90.00°, γ = 90.00°
Closest atoms and distances in Å follow each position.
Space group P4/mmm (No. 123)
Inequivalent atoms, fractional coordinates:
Be  0.0000  0.0000  0.0000 [1 per cell]  4 Ir 2.14, 2 Sb 2.23
Ge  0.5000  0.5000  0.5000 [1 per cell]  4 Sb 3.02, 8 Ir 3.09
Sb  0.0000  0.0000  0.5000 [1 per cell]  2 Be 2.23
Ir  0.0000  0.5000  0.0000 [2 per cell]  2 Be 2.14

=====

KBe2GeRh | meta-GGA SCAN | single point on PBEsol structure

- magnetization (μB per formula unit) = 0.00
- formation enthalpy at 0 K (meV per atom) = -28

a = 4.4830 Å, b = 4.4830 Å, c = 4.5847 Å
α = 90.00°, β = 90.00°, γ = 90.00°
Closest atoms and distances in Å follow each position.
Space group P4/mmm (No. 123)
Inequivalent atoms, fractional coordinates:
K  0.0000  0.0000  0.0000 [1 per cell]  4 Ge 3.17, 8 Be 3.21
Be  0.0000  0.5000  0.5000 [2 per cell]  2 Rh 2.24
Ge  0.5000  0.5000  0.0000 [1 per cell]  2 Rh 2.29
Rh  0.5000  0.5000  0.5000 [1 per cell]  4 Be 2.24, 2 Ge 2.29

=====

LiBeGe2 | meta-GGA SCAN | single point on PBEsol structure

- magnetization (μB per formula unit) = 0.00
- formation enthalpy at 0 K (meV per atom) = 168

a = 3.9392 Å, b = 3.9392 Å, c = 15.7907 Å
α = 90.00°, β = 90.00°, γ = 90.00°
Closest atoms and distances in Å follow each position.
Space group I-42d (No. 122)
Inequivalent atoms, fractional coordinates:
Li  0.0000  0.0000  0.0000 [4 per cell]  4 Ge 2.44
Be  0.0000  0.0000  0.5000 [4 per cell]  4 Ge 2.39
Ge  0.2335  0.2500  0.6250 [8 per cell]  2 Be 2.39, 2 Li 2.44